RbCrO3: relaxed, GGA-PBEsol.

Cell and atoms, written as POSCAR:
```
RbCrO3
1.0
3.7903 0.0000 0.0000
0.0000 3.7903 0.0000
0.0000 0.0000 3.7903
Rb Cr O
1 1 3
Cartesian
0.0000 0.0000 0.0000
1.8951 1.8951 1.8951
0.0000 1.8951 1.8951
1.8951 0.0000 1.8951
1.8951 1.8951 0.0000
```

Output
formation energy (no corrections)	-764	kJ/mol of formula units
symmetry	Pm-3m
ρ	5.66	g/cm³